# 1
Pr2Nd9Tl | PBE | optimized geometry

The structure in CIF format:
```
data_Pr2Nd9Tl
_chemical_formula_sum 'Pr2 Nd9 Tl1'
_cell_length_a 5.1031
_cell_length_b 5.1031
_cell_length_c 15.7014
_cell_angle_alpha 90.00
_cell_angle_beta 90.00
_cell_angle_gamma 90.00
_space_group_name_H-M_alt 'P 4/m m m'
_space_group_IT_number 123
_space_group_name_Hall '-P 4 2'
loop_
_atom_site_label
_atom_site_fract_x
_atom_site_fract_y
_atom_site_fract_z
Pr1 0.0000 0.0000 0.1699
Nd1 0.0000 0.5000 0.0000
Nd2 0.0000 0.5000 0.3398
Nd3 0.5000 0.5000 0.1710
Nd4 0.5000 0.5000 0.5000
Tl1 0.0000 0.0000 0.5000
```

Properties
- Crystal system: tetragonal
- Fermi-level density of states: 16.2 states/eV/f.u.
- E_form: -46.3 meV/atom

---

# 2
AcCeCuS4 | PBE | optimized geometry

The structure in CIF format:
```
data_AcCeCuS4
_chemical_formula_sum 'Ac2 Ce2 Cu2 S8'
_cell_length_a 6.5815
_cell_length_b 6.1209
_cell_length_c 8.1943
_cell_angle_alpha 90.00
_cell_angle_beta 107.64
_cell_angle_gamma 90.00
_space_group_name_H-M_alt 'P 1 21/m 1'
_space_group_IT_number 11
_space_group_name_Hall '-P 2yb'
loop_
_atom_site_label
_atom_site_fract_x
_atom_site_fract_y
_atom_site_fract_z
Ac1 0.2411 0.2500 0.4355
Ce1 0.2567 0.2500 0.9420
Cu1 0.2629 0.7500 0.1821
S1 0.0649 0.7500 0.9046
S2 0.0716 0.7500 0.3733
S3 0.4820 0.5128 0.7608
```

Properties
- Crystal system: monoclinic
- Raw formation energy: -1.5829 eV per atom
- Fermi-level density of states: 3.9 states/eV/f.u.

---

# 3
CsKIn2I8 | PBE | optimized geometry

The structure in CIF format:
```
data_CsKIn2I8
_chemical_formula_sum 'Cs3 K3 In6 I24'
_cell_length_a 7.9544
_cell_length_b 7.9544
_cell_length_c 33.9399
_cell_angle_alpha 90.00
_cell_angle_beta 90.00
_cell_angle_gamma 120.00
_space_group_name_H-M_alt 'R -3'
_space_group_IT_number 148
_space_group_name_Hall '-R 3'
loop_
_atom_site_label
_atom_site_fract_x
_atom_site_fract_y
_atom_site_fract_z
Cs1 0.0000 0.0000 0.0000
K1 0.0000 0.0000 0.5000
In1 0.0000 0.0000 0.2551
I1 0.0000 0.0000 0.3363
I2 0.0182 0.3808 0.5629
```

Properties
- Crystal system: trigonal
- Raw formation energy: -0.8771 eV per atom
- Fermi-level density of states: 0.0 states/eV/f.u.

---

# 4
HoMgGe2Pd5 | PBE | optimized geometry

The structure in CIF format:
```
data_HoMgGe2Pd5
_chemical_formula_sum 'Ho1 Mg1 Ge2 Pd5'
_cell_length_a 4.1789
_cell_length_b 4.1789
_cell_length_c 8.8437
_cell_angle_alpha 90.00
_cell_angle_beta 90.00
_cell_angle_gamma 90.00
_space_group_name_H-M_alt 'P 4/m m m'
_space_group_IT_number 123
_space_group_name_Hall '-P 4 2'
loop_
_atom_site_label
_atom_site_fract_x
_atom_site_fract_y
_atom_site_fract_z
Ho1 0.0000 0.0000 0.0000
Mg1 0.0000 0.0000 0.5000
Ge1 0.5000 0.5000 0.1380
Pd1 0.0000 0.5000 0.2845
Pd2 0.5000 0.5000 0.5000
```

Properties
- Crystal system: tetragonal
- Fermi-level density of states: 6.2 states/eV/f.u.
- E_form: -704.8 meV/atom

---

# 5
AgTe5 | PBE | optimized geometry

The structure in CIF format:
```
data_AgTe5
_chemical_formula_sum 'Ag1 Te5'
_cell_length_a 7.0705
_cell_length_b 7.0705
_cell_length_c 4.1059
_cell_angle_alpha 90.00
_cell_angle_beta 90.00
_cell_angle_gamma 120.00
_space_group_name_H-M_alt 'P -6 2 m'
_space_group_IT_number 189
_space_group_name_Hall 'P -6 -2'
loop_
_atom_site_label
_atom_site_fract_x
_atom_site_fract_y
_atom_site_fract_z
Ag1 0.0000 0.0000 0.0000
Te1 0.0000 0.6934 0.5000
Te2 0.3333 0.6667 0.0000
```

Properties
- Crystal system: hexagonal
- E above lowest polymorph: 1.13 eV per formula unit
- Raw formation energy: 0.1896 eV per atom
- Fermi-level density of states: 5.3 states/eV/f.u.

---

# 6
Pm2Cu3Rh | PBE | optimized geometry

The structure in CIF format:
```
data_Pm2Cu3Rh
_chemical_formula_sum 'Pm2 Cu3 Rh1'
_cell_length_a 3.7706
_cell_length_b 4.2698
_cell_length_c 7.4459
_cell_angle_alpha 90.00
_cell_angle_beta 90.00
_cell_angle_gamma 90.00
_space_group_name_H-M_alt 'P m m 2'
_space_group_IT_number 25
_space_group_name_Hall 'P 2 -2'
loop_
_atom_site_label
_atom_site_fract_x
_atom_site_fract_y
_atom_site_fract_z
Pm1 0.0000 0.0000 0.0000
Pm2 0.0000 0.5000 0.4724
Cu1 0.5000 0.0000 0.6584
Cu2 0.5000 0.5000 0.1417
Cu3 0.5000 0.5000 0.8164
Rh1 0.5000 0.0000 0.3201
```

Properties
- Crystal system: orthorhombic
- E above lowest polymorph: 0.04 eV per formula unit
- Fermi-level density of states: 4.7 states/eV/f.u.
- E_form: -337.6 meV/atom

---

# 7
Na5Tl4Sn | PBE | optimized geometry

The structure in CIF format:
```
data_Na5Tl4Sn
_chemical_formula_sum 'Na10 Tl8 Sn2'
_cell_length_a 9.8234
_cell_length_b 9.8234
_cell_length_c 6.4338
_cell_angle_alpha 90.00
_cell_angle_beta 90.00
_cell_angle_gamma 90.00
_space_group_name_H-M_alt 'I 4'
_space_group_IT_number 79
_space_group_name_Hall 'I 4'
loop_
_atom_site_label
_atom_site_fract_x
_atom_site_fract_y
_atom_site_fract_z
Na1 0.0000 0.0000 0.0000
Na2 0.0568 0.6829 0.2333
Tl1 0.1220 0.7570 0.7203
Sn1 0.0000 0.0000 0.4753
```

Properties
- Crystal system: tetragonal
- Fermi-level density of states: 4.1 states/eV/f.u.
- E_form: -62.4 meV/atom

---

# 8
NdGaIrN | PBE | optimized geometry

The structure in CIF format:
```
data_NdGaIrN
_chemical_formula_sum 'Nd2 Ga2 Ir2 N2'
_cell_length_a 3.9261
_cell_length_b 3.9261
_cell_length_c 8.9421
_cell_angle_alpha 90.00
_cell_angle_beta 90.00
_cell_angle_gamma 90.00
_space_group_name_H-M_alt 'P 4/n m m'
_space_group_IT_number 129
loop_
_space_group_symop_operation_xyz
'x,y,z'
'-x,-y,-z'
'-y+1/2,x,z'
'y+1/2,-x,-z'
'-x+1/2,-y+1/2,z'
'x+1/2,y+1/2,-z'
'y,-x+1/2,z'
'-y,x+1/2,-z'
'x+1/2,-y,-z'
'-x+1/2,y,z'
'-y,-x,-z'
'y,x,z'
'-x,y+1/2,-z'
'x,-y+1/2,z'
'y+1/2,x+1/2,-z'
'-y+1/2,-x+1/2,z'
loop_
_atom_site_label
_atom_site_fract_x
_atom_site_fract_y
_atom_site_fract_z
Nd1 0.2500 0.2500 0.1437
Ga1 0.2500 0.2500 0.6688
Ir1 0.2500 0.7500 0.5000
N1 0.2500 0.2500 0.8843
```

Properties
- Crystal system: tetragonal
- Raw formation energy: -0.7553 eV per atom
- Fermi-level density of states: 1.4 states/eV/f.u.

---

# 9
TlZnPt3 | PBE | optimized geometry

The structure in CIF format:
```
data_TlZnPt3
_chemical_formula_sum 'Tl1 Zn1 Pt3'
_cell_length_a 4.6771
_cell_length_b 4.6771
_cell_length_c 4.6771
_cell_angle_alpha 90.00
_cell_angle_beta 90.00
_cell_angle_gamma 90.00
_space_group_name_H-M_alt 'P m -3 m'
_space_group_IT_number 221
_space_group_name_Hall '-P 4 2 3'
loop_
_atom_site_label
_atom_site_fract_x
_atom_site_fract_y
_atom_site_fract_z
Tl1 0.0000 0.0000 0.0000
Zn1 0.5000 0.5000 0.5000
Pt1 0.0000 0.5000 0.5000
```

Properties
- Crystal system: cubic
- E above lowest polymorph: 0.00 eV per formula unit
- Fermi-level density of states: 6.2 states/eV/f.u.
- E_form: 533.6 meV/atom

---

# 10
K2AgMo | PBE | optimized geometry

The structure in CIF format:
```
data_K2AgMo
_chemical_formula_sum 'K2 Ag1 Mo1'
_cell_length_a 2.8816
_cell_length_b 4.3923
_cell_length_c 10.1981
_cell_angle_alpha 90.00
_cell_angle_beta 93.42
_cell_angle_gamma 90.00
_space_group_name_H-M_alt 'P 1 m 1'
_space_group_IT_number 6
_space_group_name_Hall 'P -2y'
loop_
_atom_site_label
_atom_site_fract_x
_atom_site_fract_y
_atom_site_fract_z
K1 0.0000 0.0000 0.0000
K2 0.3691 0.5000 0.4128
Ag1 0.9285 0.0000 0.6521
Mo1 0.4479 0.5000 0.7427
```

Properties
- Crystal system: monoclinic
- E above lowest polymorph: 0.00 eV per formula unit
- Fermi-level density of states: 3.1 states/eV/f.u.
- E_form: 896.6 meV/atom

---

# 11
BAuF2 | PBE | optimized geometry

The structure in CIF format:
```
data_BAuF2
_chemical_formula_sum 'B3 Au3 F6'
_cell_length_a 2.7626
_cell_length_b 2.7626
_cell_length_c 30.0067
_cell_angle_alpha 90.00
_cell_angle_beta 90.00
_cell_angle_gamma 120.00
_space_group_name_H-M_alt 'R -3 m'
_space_group_IT_number 166
_space_group_name_Hall '-R 3 2"'
loop_
_atom_site_label
_atom_site_fract_x
_atom_site_fract_y
_atom_site_fract_z
B1 0.0000 0.0000 0.0000
Au1 0.0000 0.0000 0.5000
F1 0.0000 0.0000 0.0444
```

Properties
- Crystal system: trigonal
- E above lowest polymorph: 0.00 eV per formula unit
- Raw formation energy: -0.9398 eV per atom
- Fermi-level density of states: 1.7 states/eV/f.u.

---

# 12
KGeSb | PBE | optimized geometry

The structure in CIF format:
```
data_KGeSb
_chemical_formula_sum 'K2 Ge2 Sb2'
_cell_length_a 4.1334
_cell_length_b 6.3509
_cell_length_c 8.1954
_cell_angle_alpha 100.75
_cell_angle_beta 90.04
_cell_angle_gamma 108.77
_space_group_name_H-M_alt 'P -1'
_space_group_IT_number 2
_space_group_name_Hall '-P 1'
loop_
_atom_site_label
_atom_site_fract_x
_atom_site_fract_y
_atom_site_fract_z
K1 0.1090 0.2188 0.3882
Ge1 0.1110 0.2243 0.9850
Sb1 0.3588 0.7139 0.2181
```

Properties
- Crystal system: triclinic
- Raw formation energy: -0.1718 eV per atom
- Fermi-level density of states: 0.1 states/eV/f.u.

---

# 13
NdInS3 | PBE | optimized geometry

The structure in CIF format:
```
data_NdInS3
_chemical_formula_sum 'Nd2 In2 S6'
_cell_length_a 7.6489
_cell_length_b 3.9714
_cell_length_c 7.8071
_cell_angle_alpha 90.00
_cell_angle_beta 96.50
_cell_angle_gamma 90.00
_space_group_name_H-M_alt 'P 1 21/m 1'
_space_group_IT_number 11
_space_group_name_Hall '-P 2yb'
loop_
_atom_site_label
_atom_site_fract_x
_atom_site_fract_y
_atom_site_fract_z
Nd1 0.1238 0.2500 0.2761
In1 0.3490 0.7500 0.8355
S1 0.1211 0.2500 0.8941
S2 0.1942 0.7500 0.5328
S3 0.4077 0.7500 0.1706
```

Properties
- Crystal system: monoclinic
- E above lowest polymorph: 0.00 eV per formula unit
- Raw formation energy: -1.2643 eV per atom

---

# 14
HoAlP2O8 | PBE | optimized geometry

The structure in CIF format:
```
data_HoAlP2O8
_chemical_formula_sum 'Ho1 Al1 P2 O8'
_cell_length_a 5.0254
_cell_length_b 5.0254
_cell_length_c 6.3455
_cell_angle_alpha 90.00
_cell_angle_beta 90.00
_cell_angle_gamma 120.00
_space_group_name_H-M_alt 'P -3 m 1'
_space_group_IT_number 164
_space_group_name_Hall '-P 3 2"'
loop_
_atom_site_label
_atom_site_fract_x
_atom_site_fract_y
_atom_site_fract_z
Ho1 0.0000 0.0000 0.0000
Al1 0.0000 0.0000 0.5000
P1 0.3333 0.6667 0.2316
O1 0.1649 0.3298 0.3082
O2 0.3333 0.6667 0.9906
```

Properties
- Crystal system: trigonal
- Raw formation energy: -2.7251 eV per atom
- Fermi-level density of states: 0.0 states/eV/f.u.

---

# 15
CaZrAs | PBE | optimized geometry

The structure in CIF format:
```
data_CaZrAs
_chemical_formula_sum 'Ca4 Zr4 As4'
_cell_length_a 4.3882
_cell_length_b 5.4592
_cell_length_c 12.5301
_cell_angle_alpha 90.00
_cell_angle_beta 90.00
_cell_angle_gamma 90.00
_space_group_name_H-M_alt 'F m m 2'
_space_group_IT_number 42
_space_group_name_Hall 'F 2 -2'
loop_
_atom_site_label
_atom_site_fract_x
_atom_site_fract_y
_atom_site_fract_z
Ca1 0.0000 0.0000 0.0000
Zr1 0.0000 0.0000 0.7136
As1 0.0000 0.0000 0.3327
```

Properties
- Crystal system: orthorhombic
- E above lowest polymorph: 1.29 eV per formula unit
- Fermi-level density of states: 3.1 states/eV/f.u.
- E_form: -491.4 meV/atom

---

# 16
Pr4Nd3Er | PBE | optimized geometry

The structure in CIF format:
```
data_Pr4Nd3Er
_chemical_formula_sum 'Pr8 Nd6 Er2'
_cell_length_a 24.7087
_cell_length_b 3.6935
_cell_length_c 6.3872
_cell_angle_alpha 90.00
_cell_angle_beta 104.98
_cell_angle_gamma 90.00
_space_group_name_H-M_alt 'C 1 2/m 1'
_space_group_IT_number 12
_space_group_name_Hall '-C 2y'
loop_
_atom_site_label
_atom_site_fract_x
_atom_site_fract_y
_atom_site_fract_z
Pr1 0.1233 0.0000 0.2914
Pr2 0.1245 0.5000 0.7915
Nd1 0.0000 0.0000 0.5000
Nd2 0.2492 0.5000 0.2495
Er1 0.0000 0.5000 0.0000
```

Properties
- Crystal system: monoclinic
- Fermi-level density of states: 10.7 states/eV/f.u.
- E_form: 12.9 meV/atom

---

# 17
RbBa2LiF | PBE | optimized geometry

The structure in CIF format:
```
data_RbBa2LiF
_chemical_formula_sum 'Rb1 Ba2 Li1 F1'
_cell_length_a 5.6818
_cell_length_b 5.6818
_cell_length_c 6.4386
_cell_angle_alpha 90.00
_cell_angle_beta 90.00
_cell_angle_gamma 90.00
_space_group_name_H-M_alt 'P 4/m m m'
_space_group_IT_number 123
_space_group_name_Hall '-P 4 2'
loop_
_atom_site_label
_atom_site_fract_x
_atom_site_fract_y
_atom_site_fract_z
Rb1 0.0000 0.0000 0.0000
Ba1 0.0000 0.5000 0.5000
Li1 0.5000 0.5000 0.0000
F1 0.0000 0.0000 0.5000
```

Properties
- Crystal system: tetragonal
- Raw formation energy: -0.9441 eV per atom
- Fermi-level density of states: 4.9 states/eV/f.u.